An optimized crystal structure of RbBiSb, computed with PBE.

Output
space group: Pnma
VASP energy: -0.2342 Ry per atom
volume: 533 Å³ per cell
raw formation energy: -196 meV per atom

a = 5.7532 Å, b = 6.8076 Å, c = 13.6169 Å
α = 90.00°, β = 90.00°, γ = 90.00°
Positions (direct):
Sb 0.7500 0.6683 0.5539
Bi 0.2500 0.7313 0.9812
Sb 0.2500 0.1683 0.9461
Bi 0.2500 0.7687 0.4812
Rb 0.2500 0.0462 0.2149
Rb 0.7500 0.9538 0.7851
Bi 0.7500 0.2313 0.5188
Sb 0.7500 0.8317 0.0539
Sb 0.2500 0.3317 0.4461
Rb 0.7500 0.5462 0.2851
Bi 0.7500 0.2687 0.0188
Rb 0.2500 0.4538 0.7149